# NaTiO3

A relaxed structure of NaTiO3 (GGA-PBE, Alexandria).

space group	P2_1/c (14)
uncorrected formation energy	-2298	meV/atom
N(E_F)	0.0	states/eV per cell
magnetization	0.000	Bohr magnetons per cell

Unit cell a=22.0695 b=5.4957 c=8.5469 alpha=90.00 beta=166.76 gamma=90.00
Fractional coordinates of all 20 atoms:
Na (0.0808, 0.2401, 0.6408)
Na (0.9192, 0.7599, 0.3592)
Na (0.4192, 0.7401, 0.8592)
Na (0.5808, 0.2599, 0.1408)
O (0.2651, 0.9467, 0.9012)
O (0.7349, 0.0533, 0.0988)
O (0.2349, 0.4467, 0.5988)
O (0.7651, 0.5533, 0.4012)
O (0.3759, 0.5106, 0.2353)
O (0.6241, 0.4894, 0.7647)
O (0.1241, 0.0106, 0.2647)
O (0.8759, 0.9894, 0.7353)
O (0.3642, 0.9275, 0.4650)
O (0.6358, 0.0725, 0.5350)
O (0.1358, 0.4275, 0.0350)
O (0.8642, 0.5725, 0.9650)
Ti (0.5514, 0.8252, 0.7762)
Ti (0.4486, 0.1748, 0.2238)
Ti (0.9486, 0.3252, 0.7238)
Ti (0.0514, 0.6748, 0.2762)